[1]
First-principles (PBE) data for TaReTe3 after structural relaxation, as listed in Alexandria via LeMat-Bulk.

For the size of the total moment, the calculation gives 5.42 μB per cell. The density of states at the Fermi level comes out at 0.76 states/eV/atom. As for the uncorrected formation energy: 1.353 eV/atom. The calculation puts the energy above the most stable polymorph in this dataset at 0.0 kJ per mole of atoms. For the electronic total energy, the calculation gives -5.392 eV per atom.

It has space group Pm-3m (No. 221), with a = 5.409 Å, b = 5.409 Å, c = 5.409 Å, α = 90.00°, β = 90.00° and γ = 90.00°. Symmetry generates all atoms from Ta at (0.000, 0.000, 0.000), Re at (0.500, 0.500, 0.500) and Te at (0.000, 0.000, 0.500).

---

[2]
First-principles (PBE) data for Nd2InSn after structural relaxation, as listed in Alexandria via LeMat-Bulk.

For the size of the total moment, the calculation gives 0.00 μB per cell. The density of states at the Fermi level comes out at 0.66 states/eV/atom. For the formation enthalpy at 0 K, the calculation gives -58 kJ/mol of atoms. For the electronic total energy, the calculation gives -4.675 eV per atom.

It has space group Fmmm (No. 69), with a = 8.835 Å, b = 10.160 Å, c = 10.221 Å, α = 90.00°, β = 90.00° and γ = 90.00°. Symmetry generates all atoms from Nd at (0.211, 0.000, 0.000), Nd at (0.250, 0.250, 0.250), In at (0.000, 0.221, 0.500) and Sn at (0.000, 0.000, 0.281).

---

> Look up the electronic total energy of the second one.

-4.675 eV per atom

---

Please write out number 1 again, unchanged.
First-principles (PBE) data for TaReTe3 after structural relaxation, as listed in Alexandria via LeMat-Bulk.

For the size of the total moment, the calculation gives 5.42 μB per cell. The density of states at the Fermi level comes out at 0.76 states/eV/atom. As for the uncorrected formation energy: 1.353 eV/atom. The calculation puts the energy above the most stable polymorph in this dataset at 0.0 kJ per mole of atoms. For the electronic total energy, the calculation gives -5.392 eV per atom.

It has space group Pm-3m (No. 221), with a = 5.409 Å, b = 5.409 Å, c = 5.409 Å, α = 90.00°, β = 90.00° and γ = 90.00°. Symmetry generates all atoms from Ta at (0.000, 0.000, 0.000), Re at (0.500, 0.500, 0.500) and Te at (0.000, 0.000, 0.500).

---

Copy entry 1 word for word.
First-principles (PBE) data for TaReTe3 after structural relaxation, as listed in Alexandria via LeMat-Bulk.

For the size of the total moment, the calculation gives 5.42 μB per cell. The density of states at the Fermi level comes out at 0.76 states/eV/atom. As for the uncorrected formation energy: 1.353 eV/atom. The calculation puts the energy above the most stable polymorph in this dataset at 0.0 kJ per mole of atoms. For the electronic total energy, the calculation gives -5.392 eV per atom.

It has space group Pm-3m (No. 221), with a = 5.409 Å, b = 5.409 Å, c = 5.409 Å, α = 90.00°, β = 90.00° and γ = 90.00°. Symmetry generates all atoms from Ta at (0.000, 0.000, 0.000), Re at (0.500, 0.500, 0.500) and Te at (0.000, 0.000, 0.500).

---

> Which value of electronic total energy does entry 1 give?

-5.392 eV per atom